AgAsP: relaxed, PBE.

Properties
Magnetic moment (μB/f.u.): 0.0
Symmetry: P6_3/mmc, No. 194
Formation enthalpy at 0 K (eV/atom): 0.62

Unit cell a=4.7283 b=4.7283 c=5.6193 alpha=90.00 beta=90.00 gamma=120.00
Last column: nearest neighbours and their distance in Å.
Element x y z (fractional)
Ag (0.3333, 0.6667, 0.2500)  5 As 2.73-2.81
Ag (0.6667, 0.3333, 0.7500)  5 As 2.73-2.81
As (0.3333, 0.6667, 0.7500)  5 Ag 2.73-2.81
As (0.6667, 0.3333, 0.2500)  5 Ag 2.73-2.81
P (0.0000, 0.0000, 0.0000)  2 P 2.81, 6 Ag 3.07, 6 As 3.07
P (0.0000, 0.0000, 0.5000)  2 P 2.81, 6 As 3.07, 6 Ag 3.07